# 1
Density functional theory data (GGA-PBE) for a relaxed Pr2SbIF crystal.

CIF file:
```
data_Pr2SbIF
_symmetry_space_group_name_H-M 'P 3 m 1'
_symmetry_Int_Tables_number 156
_symmetry_space_group_name_Hall 'P 3 -2"'
_cell_length_a 4.2674
_cell_length_b 4.2674
_cell_length_c 9.4312
_cell_angle_alpha 90.00
_cell_angle_beta 90.00
_cell_angle_gamma 120.00
loop_
_atom_site_label
_atom_site_type_symbol
_atom_site_fract_x
_atom_site_fract_y
_atom_site_fract_z
Pr1 Pr 0.0000 0.0000 0.0000
Pr2 Pr 0.3333 0.6667 0.5941
Sb1 Sb 0.6667 0.3333 0.7948
I1 I 0.0000 0.0000 0.3656
F1 F 0.3333 0.6667 0.0755
```

Summary:
**Final energy**: -5.275 eV per atom
**Crystal system**: trigonal

=====

# 2
Density functional theory data (GGA-PBE) for a relaxed Tb3SbN2 crystal.

CIF file:
```
data_Tb3SbN2
_symmetry_space_group_name_H-M 'P -3 m 1'
_symmetry_Int_Tables_number 164
_symmetry_space_group_name_Hall '-P 3 2"'
_cell_length_a 3.5562
_cell_length_b 3.5562
_cell_length_c 10.2770
_cell_angle_alpha 90.00
_cell_angle_beta 90.00
_cell_angle_gamma 120.00
loop_
_atom_site_label
_atom_site_type_symbol
_atom_site_fract_x
_atom_site_fract_y
_atom_site_fract_z
Tb1 Tb 0.0000 0.0000 0.0000
Tb2 Tb 0.3333 0.6667 0.2626
Sb1 Sb 0.0000 0.0000 0.5000
N1 N 0.3333 0.6667 0.8565
```

Summary:
**Final energy**: -7.144 eV per atom
**Crystal system**: trigonal

=====

# 3
Density functional theory data (GGA-PBE) for a relaxed RbZrTa crystal.

CIF file:
```
data_RbZrTa
_symmetry_space_group_name_H-M 'F -4 3 m'
_symmetry_Int_Tables_number 216
_symmetry_space_group_name_Hall 'F -4 2 3'
_cell_length_a 6.9249
_cell_length_b 6.9249
_cell_length_c 6.9249
_cell_angle_alpha 90.00
_cell_angle_beta 90.00
_cell_angle_gamma 90.00
loop_
_atom_site_label
_atom_site_type_symbol
_atom_site_fract_x
_atom_site_fract_y
_atom_site_fract_z
Rb1 Rb 0.0000 0.0000 0.0000
Zr1 Zr 0.2500 0.2500 0.2500
Ta1 Ta 0.2500 0.2500 0.7500
```

Summary:
**Relative energy among the computed polymorphs**: 614 meV per atom
**Crystal system**: cubic

=====

Density for the records above, in order: 6.1; 9.2; 7.2 g cm⁻³